No. 1
A relaxed SrBNO2 crystal, computed with PBE. Values from VASP.

Quantum ESPRESSO input file:
```
&SYSTEM
  ibrav = 0, nat = 5, ntyp = 4
/
ATOMIC_SPECIES
Sr 87.62 Sr.upf
B 10.81 B.upf
O 16.00 O.upf
N 14.01 N.upf
CELL_PARAMETERS angstrom
-2.4837 -1.8311 -2.6761
-0.3143 -3.2192 2.4943
-2.3912 1.2764 1.3460
ATOMIC_POSITIONS crystal
Sr 0.5000 0.5000 0.5000
B 0.0000 0.0000 0.0000
O 0.0000 0.5000 0.0000
O 0.5000 0.0000 0.0000
N 0.0000 0.0000 0.5000
```

Properties
- Magnetic moment: 0.31 μB/atom
- Raw formation energy: -0.775 eV/atom
- D(E_F): 0.490 states/eV/atom
- Energy: -6.0950 eV/atom

No. 2
A relaxed BaHfV2Hg crystal, computed with PBE. Values from VASP.

Quantum ESPRESSO input file:
```
&SYSTEM
  ibrav = 0, nat = 5, ntyp = 4
/
ATOMIC_SPECIES
V 50.94 V.upf
Hf 178.49 Hf.upf
Hg 200.59 Hg.upf
Ba 137.33 Ba.upf
CELL_PARAMETERS angstrom
-4.7127 0.9458 1.2346
-1.6095 -4.8554 -2.4242
0.6539 -2.3693 4.3112
ATOMIC_POSITIONS crystal
V 0.0000 0.0000 0.5000
V 0.5000 0.0000 0.0000
Hf 0.5000 0.5000 0.5000
Hg 0.0000 0.5000 0.0000
Ba 0.0000 0.0000 0.0000
```

Properties
- E_form: 2.149 eV/atom
- Magnetic moment: 0.96 μB/atom
- D(E_F): 1.232 states/eV/atom
- Energy: -3.9337 eV/atom

No. 3
A relaxed Ti3ZnH3 crystal, computed with PBE. Values from VASP.

Quantum ESPRESSO input file:
```
&SYSTEM
  ibrav = 0, nat = 14, ntyp = 3
/
ATOMIC_SPECIES
Ti 47.87 Ti.upf
Zn 65.41 Zn.upf
H 1.01 H.upf
CELL_PARAMETERS angstrom
5.2213 0.0000 0.0000
2.6106 4.5217 0.0000
2.6106 1.5072 6.7080
ATOMIC_POSITIONS crystal
Ti 0.2236 0.5730 0.3006
Ti 0.9028 0.2236 0.3006
Ti 0.5730 0.9028 0.3006
Ti 0.4270 0.0972 0.6994
Ti 0.0972 0.7764 0.6994
Ti 0.7764 0.4270 0.6994
Zn 0.3339 0.3339 0.9983
Zn 0.6661 0.6661 0.0017
H 0.4764 0.7959 0.5886
H 0.7959 0.1391 0.5886
H 0.1391 0.4764 0.5886
H 0.8609 0.5236 0.4114
H 0.2041 0.8609 0.4114
H 0.5236 0.2041 0.4114
```

Properties
- Excess energy over the best structure of this formula in the dataset: 106.9 kJ/mol of formula units
- Magnetic moment: 0.00 μB/atom
- D(E_F): 0.812 states/eV/atom
- Energy: -5.1872 eV/atom

Which value of D(E_F) does entry 2 give? 1.232 states/eV/atom

Which formula does entry 2 have? BaHfV2Hg